# 1
Density functional theory data (PBE) for a relaxed Pr5NdN4 crystal.

Properties
Formation energy without anion corrections (eV/atom): -1.03

The structure in CIF format:
```
data_Pr5NdN4
_cell_length_a 8.243
_cell_length_b 8.243
_cell_length_c 7.567
_cell_angle_alpha 102.59
_cell_angle_beta 102.59
_cell_angle_gamma 25.64
_space_group_name_H-M_alt 'P 1'
_space_group_IT_number 1
_space_group_name_Hall 'P 1'
loop_
_atom_site_label
_atom_site_fract_x
_atom_site_fract_y
_atom_site_fract_z
Pr1 0.000 0.000 0.000
Pr2 0.336 0.336 0.650
Pr3 0.342 0.342 0.196
Pr4 0.658 0.658 0.804
Pr5 0.664 0.664 0.350
Nd1 0.000 0.000 0.500
N1 0.166 0.166 0.582
N2 0.498 0.498 0.250
N3 0.502 0.502 0.750
N4 0.834 0.834 0.418
```

---

# 2
Density functional theory data (PBE) for a relaxed MnRe2Mo crystal.

Properties
DFT formation energy (eV per atom): 0.21
Relative energy among the computed polymorphs (meV per atom): 119

The structure in CIF format:
```
data_MnRe2Mo
_cell_length_a 2.761
_cell_length_b 2.761
_cell_length_c 27.013
_cell_angle_alpha 90.00
_cell_angle_beta 90.00
_cell_angle_gamma 120.00
_space_group_name_H-M_alt 'P 1'
_space_group_IT_number 1
_space_group_name_Hall 'P 1'
loop_
_atom_site_label
_atom_site_fract_x
_atom_site_fract_y
_atom_site_fract_z
Mn1 0.000 0.000 0.000
Mn2 0.333 0.667 0.667
Mn3 0.667 0.333 0.333
Re1 0.000 0.000 0.252
Re2 0.000 0.000 0.504
Re3 0.333 0.667 0.170
Re4 0.333 0.667 0.918
Re5 0.667 0.333 0.585
Re6 0.667 0.333 0.837
Mo1 0.000 0.000 0.750
Mo2 0.333 0.667 0.416
Mo3 0.667 0.333 0.083
```

---

# 3
Density functional theory data (PBE) for a relaxed Mn4As crystal.

Properties
DFT formation energy (eV per atom): 0.76
Relative energy among the computed polymorphs (meV per atom): 61

The structure in CIF format:
```
data_Mn4As
_cell_length_a 4.517
_cell_length_b 4.517
_cell_length_c 4.517
_cell_angle_alpha 90.00
_cell_angle_beta 90.00
_cell_angle_gamma 90.00
_space_group_name_H-M_alt 'P 1'
_space_group_IT_number 1
_space_group_name_Hall 'P 1'
loop_
_atom_site_label
_atom_site_fract_x
_atom_site_fract_y
_atom_site_fract_z
Mn1 0.000 0.000 0.000
Mn2 0.000 0.500 0.500
Mn3 0.500 0.000 0.500
Mn4 0.500 0.500 0.000
As1 0.500 0.500 0.500
```

---

# 4
Density functional theory data (PBE) for a relaxed La2ScCr crystal.

Properties
DFT formation energy (eV per atom): 0.25
Relative energy among the computed polymorphs (meV per atom): 0

The structure in CIF format:
```
data_La2ScCr
_cell_length_a 3.584
_cell_length_b 3.584
_cell_length_c 8.726
_cell_angle_alpha 90.00
_cell_angle_beta 90.00
_cell_angle_gamma 90.00
_space_group_name_H-M_alt 'P 1'
_space_group_IT_number 1
_space_group_name_Hall 'P 1'
loop_
_atom_site_label
_atom_site_fract_x
_atom_site_fract_y
_atom_site_fract_z
La1 0.000 0.000 0.000
La2 0.500 0.500 0.325
Sc1 0.000 0.000 0.610
Cr1 0.500 0.500 0.775
```

---

| no. | DOS at the Fermi energy (states/eV per atom) | calculated total energy (eV per atom) |
| --- | --- | --- |
| 1 | 0.49 | -7.23 |
| 2 | 1.00 | -11.02 |
| 3 | 0.78 | -7.51 |
| 4 | 1.33 | -6.20 |